[1]
A plane-wave DFT calculation with PBE was carried out for an optimized crystal structure of Li12Ga3Te5.

Values from the calculation:
- DFT total energy (eV per atom) = -2.758
- uncorrected formation energy (eV per atom) = -0.37

a b c (Å): 14.2766 14.2766 14.2766
angles (deg): 109.47 109.47 109.47
Closest atoms and distances in Å follow each position.
Fractional positions:
Li 0.0307 0.4400 0.8216  2 Te 2.63-2.64
Li 0.9693 0.5600 0.1784  2 Te 2.63-2.64
Li 0.8216 0.8817 0.2909  2 Te 2.63-2.64
Li 0.6784 0.4693 0.5600  2 Te 2.63-2.64
Li 0.6183 0.7091 0.6784  2 Te 2.63-2.64
Ga 0.3750 0.7500 0.6250  4 Li 2.99
Li 0.5307 0.3216 0.9400  2 Te 2.63-2.64
Ga 0.6250 0.3750 0.7500  4 Li 2.99
Ga 0.7500 0.3750 0.1250  4 Li 2.99
Li 0.2909 0.3817 0.8216  2 Te 2.63-2.64
Li 0.2091 0.6784 0.1183  2 Te 2.63-2.64
Te 0.5000 0.0000 0.0000  6 Li 2.64
Li 0.7091 0.6183 0.1784  2 Te 2.63-2.64
Li 0.5307 0.2091 0.0908  2 Te 2.63-2.64
Ga 0.2500 0.1250 0.3750  4 Li 2.99
Ga 0.2500 0.6250 0.8750  4 Li 2.99
Li 0.7909 0.3216 0.8817  2 Te 2.63-2.64
Li 0.9092 0.6183 0.9400  2 Te 2.63-2.64
Li 0.0908 0.3817 0.0600  2 Te 2.63-2.64
Te 0.2500 0.3750 0.6250  4 Li 2.63
Te 0.5000 0.5000 0.0000  6 Li 2.64
Li 0.4092 0.4400 0.1183  2 Te 2.63-2.64
Li 0.8817 0.8216 0.7909  2 Te 2.63-2.64
Li 0.2091 0.5307 0.5908  2 Te 2.63-2.64
Li 0.8817 0.0600 0.5908  2 Te 2.63-2.64
Li 0.5600 0.9693 0.6784  2 Te 2.63-2.64
Li 0.4092 0.9693 0.7909  2 Te 2.63-2.64
Te 0.8750 0.6250 0.7500  4 Li 2.63
Ga 0.8750 0.1250 0.2500  4 Li 2.99
Li 0.2909 0.9092 0.9693  2 Te 2.63-2.64
Li 0.3817 0.0908 0.5600  2 Te 2.63-2.64
Li 0.0600 0.8817 0.0908  2 Te 2.63-2.64
Li 0.9092 0.2909 0.4693  2 Te 2.63-2.64
Li 0.7091 0.0908 0.0307  2 Te 2.63-2.64
Te 0.3750 0.2500 0.1250  4 Li 2.63
Li 0.3216 0.7909 0.3817  2 Te 2.63-2.64
Te 0.1250 0.3750 0.2500  4 Li 2.63
Te 0.0000 0.5000 0.0000  6 Li 2.64
Li 0.5908 0.0307 0.2091  2 Te 2.63-2.64
Te 0.7500 0.6250 0.3750  4 Li 2.63
Li 0.9400 0.1183 0.9092  2 Te 2.63-2.64
Ga 0.6250 0.2500 0.3750  4 Li 2.99
Li 0.0908 0.7091 0.5307  2 Te 2.63-2.64
Ga 0.1250 0.8750 0.7500  4 Li 2.99
Li 0.5600 0.5908 0.3817  2 Te 2.63-2.64
Te 0.6250 0.7500 0.8750  4 Li 2.63
Li 0.4400 0.4092 0.6183  2 Te 2.63-2.64
Li 0.1784 0.1183 0.7091  2 Te 2.63-2.64
Ga 0.7500 0.8750 0.6250  4 Li 2.99
Li 0.4693 0.6784 0.0600  2 Te 2.63-2.64
Li 0.0307 0.5908 0.7091  2 Te 2.63-2.64
Ga 0.3750 0.6250 0.2500  4 Li 2.99
Te 0.6250 0.8750 0.2500  4 Li 2.63
Te 0.3750 0.1250 0.7500  4 Li 2.63
Te 0.0000 0.5000 0.5000  6 Li 2.64
Te 0.7500 0.1250 0.8750  4 Li 2.63
Li 0.9400 0.8216 0.5307  2 Te 2.63-2.64
Te 0.0000 0.0000 0.5000  6 Li 2.64
Li 0.1784 0.0600 0.9693  2 Te 2.63-2.64
Li 0.3216 0.5307 0.4400  2 Te 2.63-2.64
Li 0.3817 0.2909 0.3216  2 Te 2.63-2.64
Ga 0.8750 0.7500 0.1250  4 Li 2.99
Te 0.0000 0.0000 0.0000  6 Li 2.64
Li 0.9693 0.4092 0.2909  2 Te 2.63-2.64
Te 0.5000 0.5000 0.5000  6 Li 2.64
Te 0.8750 0.2500 0.6250  4 Li 2.63
Li 0.7909 0.4693 0.4092  2 Te 2.63-2.64
Li 0.6183 0.9092 0.4400  2 Te 2.63-2.64
Ga 0.1250 0.2500 0.8750  4 Li 2.99
Li 0.6784 0.2091 0.6183  2 Te 2.63-2.64
Te 0.5000 0.0000 0.5000  6 Li 2.64
Li 0.0600 0.1784 0.4693  2 Te 2.63-2.64
Te 0.2500 0.8750 0.1250  4 Li 2.63
Li 0.5908 0.5600 0.8817  2 Te 2.63-2.64
Li 0.8216 0.9400 0.0307  2 Te 2.63-2.64
Li 0.1183 0.1784 0.2091  2 Te 2.63-2.64
Li 0.1183 0.9400 0.4092  2 Te 2.63-2.64
Li 0.4693 0.7909 0.9092  2 Te 2.63-2.64
Li 0.4400 0.0307 0.3216  2 Te 2.63-2.64
Te 0.1250 0.7500 0.3750  4 Li 2.63

***

[2]
A plane-wave DFT calculation with PBE was carried out for an optimized crystal structure of Li8GaTe6.

Values from the calculation:
- DFT total energy (eV per atom) = -3.274
- uncorrected formation energy (eV per atom) = -0.80

a b c (Å): 8.5231 7.4122 12.3117
angles (deg): 90.00 90.00 90.00
Closest atoms and distances in Å follow each position.
Fractional positions:
Te 0.2399 0.2329 0.1133  1 Ga 2.66, 3 Li 2.79-2.86
Li 0.4462 0.2842 0.6758  4 Te 2.76-2.87
Li 0.4013 0.0000 0.9505  4 Te 2.85-2.98
Li 0.2575 0.0000 0.5198  3 Te 2.72-2.90, 2 Li 2.97
Ga 0.7539 0.0000 0.4693  4 Te 2.60-2.66
Li 0.5538 0.2158 0.1758  4 Te 2.76-2.87
Te 0.7400 0.5000 0.2406  6 Li 2.72-2.85
Te 0.7601 0.2671 0.6133  1 Ga 2.66, 3 Li 2.79-2.86
Li 0.9232 0.2108 0.1741  4 Te 2.78-2.95
Li 0.4462 0.7158 0.6758  4 Te 2.76-2.87
Li 0.0768 0.7108 0.6741  4 Te 2.78-2.95
Li 0.7562 0.7750 0.8444  4 Te 2.78-2.94, 1 Li 2.97
Li 0.7562 0.2250 0.8444  4 Te 2.78-2.94, 1 Li 2.97
Te 0.4907 0.0000 0.3599  1 Ga 2.62, 3 Li 2.80-2.83
Li 0.5987 0.5000 0.4505  4 Te 2.85-2.98
Te 0.0123 0.0000 0.3569  1 Ga 2.60, 5 Li 2.84-2.90
Te 0.9877 0.5000 0.8569  1 Ga 2.60, 5 Li 2.84-2.90
Te 0.2399 0.7671 0.1133  1 Ga 2.66, 3 Li 2.79-2.86
Te 0.7601 0.7329 0.6133  1 Ga 2.66, 3 Li 2.79-2.86
Te 0.5093 0.5000 0.8599  1 Ga 2.62, 3 Li 2.80-2.83
Li 0.7425 0.5000 0.0198  3 Te 2.72-2.90, 2 Li 2.97
Ga 0.2461 0.5000 0.9693  4 Te 2.60-2.66
Te 0.2600 0.0000 0.7406  6 Li 2.72-2.85
Te 0.7261 0.0000 0.0239  7 Li 2.78-2.95
Li 0.2438 0.2750 0.3444  4 Te 2.78-2.94, 1 Li 2.97
Li 0.9232 0.7892 0.1741  4 Te 2.78-2.95
Te 0.2739 0.5000 0.5239  7 Li 2.78-2.95
Li 0.0768 0.2892 0.6741  4 Te 2.78-2.95
Li 0.2438 0.7250 0.3444  4 Te 2.78-2.94, 1 Li 2.97
Li 0.5538 0.7842 0.1758  4 Te 2.76-2.87

***

[3]
A plane-wave DFT calculation with PBE was carried out for an optimized crystal structure of Li2GaTe2.

Values from the calculation:
- DFT total energy (eV per atom) = -3.149
- uncorrected formation energy (eV per atom) = -0.52

a b c (Å): 8.6146 8.6146 3.1971
angles (deg): 90.00 90.00 90.00
Closest atoms and distances in Å follow each position.
Fractional positions:
Li 0.1294 0.6294 0.5000  6 Te 2.93-3.05, 3 Li 3.15-3.20
Ga 0.0000 0.0000 0.0000  2 Ga 3.20, 4 Te 3.20
Li 0.6294 0.8706 0.5000  6 Te 2.93-3.05, 3 Li 3.15-3.20
Te 0.8309 0.6691 0.0000  6 Li 2.93-3.05, 2 Te 3.20, 2 Ga 3.20
Li 0.8706 0.3706 0.5000  6 Te 2.93-3.05, 3 Li 3.15-3.20
Te 0.3309 0.8309 0.0000  6 Li 2.93-3.05, 2 Te 3.20, 2 Ga 3.20
Te 0.6691 0.1691 0.0000  6 Li 2.93-3.05, 2 Te 3.20, 2 Ga 3.20
Ga 0.5000 0.5000 0.0000  2 Ga 3.20, 4 Te 3.20
Te 0.1691 0.3309 0.0000  6 Li 2.93-3.05, 2 Te 3.20, 2 Ga 3.20
Li 0.3706 0.1294 0.5000  6 Te 2.93-3.05, 3 Li 3.15-3.20

***

[4]
A plane-wave DFT calculation with PBE was carried out for an optimized crystal structure of LiGa2Te4.

Values from the calculation:
- DFT total energy (eV per atom) = -3.332
- uncorrected formation energy (eV per atom) = -0.40

a b c (Å): 5.7630 5.7630 6.9077
angles (deg): 90.00 90.00 90.00
Closest atoms and distances in Å follow each position.
Fractional positions:
Ga 0.0000 0.5000 0.5000  4 Te 2.65
Te 0.7351 0.7351 0.2564  2 Ga 2.65, 1 Li 2.79
Te 0.2649 0.2649 0.2564  2 Ga 2.65, 1 Li 2.79
Te 0.2649 0.7351 0.7436  2 Ga 2.65, 1 Li 2.79
Ga 0.5000 0.0000 0.5000  4 Te 2.65
Te 0.7351 0.2649 0.7436  2 Ga 2.65, 1 Li 2.79
Li 0.0000 0.0000 0.0000  4 Te 2.79

***

[5]
A plane-wave DFT calculation with PBE was carried out for an optimized crystal structure of Li2GaTe.

Values from the calculation:
- DFT total energy (eV per atom) = -2.855
- uncorrected formation energy (eV per atom) = -0.36

a b c (Å): 4.6182 4.6182 9.4766
angles (deg): 75.90 75.90 90.00
Closest atoms and distances in Å follow each position.
Fractional positions:
Ga 0.2500 0.7500 0.5000  4 Li 2.78
Ga 0.5000 0.5000 0.0000  4 Li 2.78
Te 0.7500 0.2500 0.5000  4 Li 2.74
Te 0.0000 0.0000 0.0000  4 Li 2.74
Li 0.8750 0.8856 0.7500  2 Te 2.74, 2 Ga 2.78
Li 0.3750 0.3644 0.7500  2 Te 2.74, 2 Ga 2.78
Li 0.1144 0.6250 0.2500  2 Te 2.74, 2 Ga 2.78
Li 0.6356 0.1250 0.2500  2 Te 2.74, 2 Ga 2.78

***

[6]
A plane-wave DFT calculation with PBE was carried out for an optimized crystal structure of Li3Ga2Te4.

Values from the calculation:
- DFT total energy (eV per atom) = -3.277
- uncorrected formation energy (eV per atom) = -0.57

a b c (Å): 6.8693 8.5399 8.5399
angles (deg): 82.50 87.73 87.73
Closest atoms and distances in Å follow each position.
Fractional positions:
Te 0.4929 0.0584 0.7371  2 Ga 2.76-2.81, 3 Li 2.81-2.93
Te 0.0071 0.2629 0.9416  2 Ga 2.76-2.81, 3 Li 2.81-2.93
Li 0.0905 0.9898 0.7723  4 Te 2.81-3.11
Te 0.5071 0.9416 0.2629  2 Ga 2.76-2.81, 3 Li 2.81-2.93
Li 0.7500 0.3099 0.6901  4 Te 2.81
Ga 0.8823 0.4318 0.1835  4 Te 2.71-2.81
Li 0.2500 0.6901 0.3099  4 Te 2.81
Li 0.5905 0.7723 0.9898  4 Te 2.81-3.11
Te 0.4872 0.4369 0.2259  2 Ga 2.71-2.72, 2 Li 2.81
Li 0.9095 0.0102 0.2277  4 Te 2.81-3.11
Te 0.9929 0.7371 0.0584  2 Ga 2.76-2.81, 3 Li 2.81-2.93
Li 0.4095 0.2277 0.0102  4 Te 2.81-3.11
Ga 0.6177 0.8165 0.5682  4 Te 2.71-2.81
Te 0.0128 0.7741 0.5631  2 Ga 2.71-2.72, 2 Li 2.81
Ga 0.1177 0.5682 0.8165  4 Te 2.71-2.81
Te 0.9872 0.2259 0.4369  2 Ga 2.71-2.72, 2 Li 2.81
Te 0.5128 0.5631 0.7741  2 Ga 2.71-2.72, 2 Li 2.81
Ga 0.3823 0.1835 0.4318  4 Te 2.71-2.81

***

[7]
A plane-wave DFT calculation with PBE was carried out for an optimized crystal structure of Li2GaTe3.

Values from the calculation:
- DFT total energy (eV per atom) = -3.244
- uncorrected formation energy (eV per atom) = -0.53

a b c (Å): 7.2456 7.3585 7.3585
angles (deg): 58.17 88.55 88.55
Closest atoms and distances in Å follow each position.
Fractional positions:
Te 0.7500 0.5049 0.4951  1 Ga 2.62, 2 Li 2.78
Te 0.2500 0.4951 0.5049  1 Ga 2.62, 2 Li 2.78
Li 0.6733 0.1274 0.5118  4 Te 2.78-2.93
Te 0.0517 0.1224 0.1808  1 Ga 2.64, 3 Li 2.84-2.93
Li 0.3267 0.8726 0.4882  4 Te 2.78-2.93
Ga 0.2500 0.1285 0.8715  3 Te 2.62-2.64
Ga 0.7500 0.8715 0.1285  3 Te 2.62-2.64
Te 0.4483 0.8192 0.8776  1 Ga 2.64, 3 Li 2.84-2.93
Li 0.8267 0.4882 0.8726  4 Te 2.78-2.93
Te 0.9483 0.8776 0.8192  1 Ga 2.64, 3 Li 2.84-2.93
Te 0.5517 0.1808 0.1224  1 Ga 2.64, 3 Li 2.84-2.93
Li 0.1733 0.5118 0.1274  4 Te 2.78-2.93

***

[8]
A plane-wave DFT calculation with PBE was carried out for an optimized crystal structure of LiGaTe3.

Values from the calculation:
- DFT total energy (eV per atom) = -2.788
- uncorrected formation energy (eV per atom) = 0.08

a b c (Å): 5.4595 5.4595 5.4595
angles (deg): 90.00 90.00 90.00
Closest atoms and distances in Å follow each position.
Fractional positions:
Te 0.0000 0.5000 0.0000  2 Ga 2.73
Li 0.5000 0.5000 0.5000  12 Te 3.86
Te 0.5000 0.0000 0.0000  2 Ga 2.73
Te 0.0000 0.0000 0.5000  2 Ga 2.73
Ga 0.0000 0.0000 0.0000  6 Te 2.73

***

[9]
A plane-wave DFT calculation with PBE was carried out for an optimized crystal structure of LiGa3Te.

Values from the calculation:
- DFT total energy (eV per atom) = -2.726
- uncorrected formation energy (eV per atom) = 0.10

a b c (Å): 4.8489 4.8489 4.8489
angles (deg): 90.00 90.00 90.00
Closest atoms and distances in Å follow each position.
Fractional positions:
Ga 0.5000 0.0000 0.0000  2 Li 2.42
Ga 0.0000 0.0000 0.5000  2 Li 2.42
Li 0.0000 0.0000 0.0000  6 Ga 2.42
Te 0.5000 0.5000 0.5000  12 Ga 3.43
Ga 0.0000 0.5000 0.0000  2 Li 2.42

***

[10]
A plane-wave DFT calculation with PBE was carried out for an optimized crystal structure of Li2ZnGaTe.

Values from the calculation:
- DFT total energy (eV per atom) = -2.298
- uncorrected formation energy (eV per atom) = -0.04

a b c (Å): 5.0112 6.4303 5.0112
angles (deg): 90.00 90.00 90.00
Closest atoms and distances in Å follow each position.
Fractional positions:
Ga 0.0000 0.5000 0.0000  2 Te 3.22, 4 Zn 3.54
Zn 0.5000 0.5000 0.5000  4 Ga 3.54
Te 0.0000 0.0000 0.0000  4 Li 2.51
Li 0.0000 0.0000 0.5000  2 Te 2.51
Li 0.5000 0.0000 0.0000  2 Te 2.51

***

[11]
A plane-wave DFT calculation with PBE was carried out for an optimized crystal structure of LiThGa4.

Values from the calculation:
- DFT total energy (eV per atom) = -3.845

a b c (Å): 5.5336 5.5336 5.5336
angles (deg): 60.00 60.00 60.00
Closest atoms and distances in Å follow each position.
Fractional positions:
Ga 0.6251 0.1246 0.6251  6 Ga 2.76-2.77
Th 0.0000 0.0000 0.0000  12 Ga 3.24, 4 Li 3.39
Ga 0.6251 0.6251 0.1246  6 Ga 2.76-2.77
Ga 0.6251 0.6251 0.6251  6 Ga 2.76-2.77
Ga 0.1246 0.6251 0.6251  6 Ga 2.76-2.77
Li 0.2500 0.2500 0.2500  12 Ga 3.24, 4 Th 3.39

***

[12]
A plane-wave DFT calculation with PBE was carried out for an optimized crystal structure of LiTh3Ga3.

Values from the calculation:
- DFT total energy (eV per atom) = -5.169

a b c (Å): 4.4520 6.0417 13.7537
angles (deg): 84.33 80.69 68.38
Closest atoms and distances in Å follow each position.
Fractional positions:
Ga 0.0430 0.1470 0.7670  1 Ga 2.64, 1 Li 2.75
Ga 0.8744 0.7029 0.5482  3 Li 2.62-2.78, 1 Ga 2.68
Li 0.7559 0.0797 0.4085  4 Ga 2.62-2.78
Ga 0.9570 0.8530 0.2330  1 Ga 2.64, 1 Li 2.75
Th 0.7459 0.7302 0.7781  6 Ga 3.10-3.29
Th 0.5274 0.3229 0.6223  6 Ga 3.10-3.22, 4 Li 3.21-3.36
Ga 0.1076 0.8590 0.9259  2 Ga 2.61-2.64
Ga 0.1256 0.2971 0.4518  3 Li 2.62-2.78, 1 Ga 2.68
Th 0.2541 0.2698 0.2219  6 Ga 3.10-3.29
Li 0.2441 0.9203 0.5915  4 Ga 2.62-2.78
Th 0.3923 0.2930 0.9224  7 Ga 3.13-3.30
Th 0.6077 0.7070 0.0776  7 Ga 3.13-3.30
Th 0.4726 0.6771 0.3777  6 Ga 3.10-3.22, 4 Li 3.21-3.36
Ga 0.8924 0.1410 0.0741  2 Ga 2.61-2.64

***

Number 1: size of the total moment 3.2 μB/f.u.. Number 2: size of the total moment 0.0 μB/f.u.. Number 3: size of the total moment 0.0 μB/f.u.. Number 4: size of the total moment 0.0 μB/f.u.. Number 5: size of the total moment 0.0 μB/f.u.. Number 6: size of the total moment 0.0 μB/f.u.. Number 7: size of the total moment 0.0 μB/f.u.. Number 8: size of the total moment 0.0 μB/f.u.. Number 9: size of the total moment 0.0 μB/f.u.. Number 10: size of the total moment 0.0 μB/f.u.. Number 11: size of the total moment 0.0 μB/f.u.. Number 12: size of the total moment 0.0 μB/f.u..